Entry 1:
Compound: Ce3GaGe
Source: Alexandria via LeMat-Bulk
Functional: PBE-GGA
Structure: relaxed

Cell and atoms, written as POSCAR:
```
Ce3GaGe
1.0
5.6088 -2.1700 0.0000
5.6088 2.1700 0.0000
-2.3969 0.0000 10.2864
Ce Ga Ge
6 2 2
Cartesian
-0.2758 0.0000 3.7414 Ce
1.6531 0.0000 7.1490 Ce
4.0188 0.0000 1.0994 Ce
4.8018 0.0000 9.1870 Ce
7.1675 0.0000 3.1375 Ce
9.0965 0.0000 6.5450 Ce
3.2557 0.0000 4.3177 Ga
5.5649 0.0000 5.9688 Ga
0.8773 0.0000 0.9929 Ge
7.9434 0.0000 9.2935 Ge
```

Output
**Uncorrected energy**: -5.591 eV per atom
**Formation energy**: -0.5021 eV per atom

***

Entry 2:
Compound: Ce2Ga3Ge4
Source: Alexandria via LeMat-Bulk
Functional: PBE-GGA
Structure: relaxed

Cell and atoms, written as POSCAR:
```
Ce2Ga3Ge4
1.0
3.0353 -7.4216 0.0000
3.0353 7.4216 0.0000
0.0000 0.0000 8.1411
Ce Ga Ge
4 6 8
Cartesian
3.0353 5.6845 7.5248 Ce
3.0353 1.7371 3.4542 Ce
3.0353 -1.7371 4.6869 Ce
3.0353 -5.6845 0.6163 Ce
0.0000 0.0000 4.0706 Ga
1.5177 3.1729 6.1058 Ga
1.5177 -3.1729 2.0353 Ga
3.0353 0.0000 0.0000 Ga
4.5530 3.1729 6.1058 Ga
4.5530 -3.1729 2.0353 Ga
3.0353 4.6932 4.5248 Ge
1.5177 0.6370 6.1058 Ge
1.5177 -0.6370 2.0353 Ge
3.0353 2.7285 0.4543 Ge
3.0353 -2.7285 7.6869 Ge
4.5530 0.6370 6.1058 Ge
4.5530 -0.6370 2.0353 Ge
3.0353 -4.6932 3.6163 Ge
```

Output
**Uncorrected energy**: -4.794 eV per atom
**Formation energy**: -0.4144 eV per atom

***

Entry 3:
Compound: Ce2GaGe
Source: Alexandria via LeMat-Bulk
Functional: PBE-GGA
Structure: relaxed

Cell and atoms, written as POSCAR:
```
Ce2GaGe
1.0
6.5448 0.0000 0.0000
0.0000 8.4172 0.0000
0.0000 0.0000 6.5781
Ce Ga Ge
8 4 4
Cartesian
1.6362 0.2118 1.6445 Ce
1.6362 3.9968 1.6445 Ce
1.6362 4.4204 4.9336 Ce
1.6362 8.2054 4.9336 Ce
4.9086 0.2118 1.6445 Ce
4.9086 3.9968 1.6445 Ce
4.9086 4.4204 4.9336 Ce
4.9086 8.2054 4.9336 Ce
0.0000 2.1043 3.5722 Ga
0.0000 6.3129 3.0059 Ga
3.2724 2.1043 6.2949 Ga
3.2724 6.3129 0.2832 Ga
0.0000 2.1043 6.3077 Ge
0.0000 6.3129 0.2705 Ge
3.2724 2.1043 3.5595 Ge
3.2724 6.3129 3.0186 Ge
```

Output
**Uncorrected energy**: -5.468 eV per atom
**Formation energy**: -0.5900 eV per atom

***

Entry 4:
Compound: Ce2GaGe3
Source: Alexandria via LeMat-Bulk
Functional: PBE-GGA
Structure: relaxed

Cell and atoms, written as POSCAR:
```
Ce2GaGe3
1.0
4.0964 0.0000 0.0000
0.0000 4.2984 0.0000
0.0000 0.0000 7.5429
Ce Ga Ge
2 1 3
Cartesian
0.0000 0.0000 0.0000 Ce
0.0000 2.1492 3.6752 Ce
2.0482 2.1492 6.2284 Ga
2.0482 0.0000 2.4763 Ge
2.0482 0.0000 5.0098 Ge
2.0482 2.1492 1.1614 Ge
```

Output
**Uncorrected energy**: -5.373 eV per atom
**Formation energy**: -0.5823 eV per atom

***

Entry 5:
Compound: Ce2Ga3Ge
Source: Alexandria via LeMat-Bulk
Functional: PBE-GGA
Structure: relaxed

Cell and atoms, written as POSCAR:
```
Ce2Ga3Ge
1.0
4.2197 0.0000 0.0000
0.0000 4.2634 0.0000
0.0000 0.0000 7.3589
Ce Ga Ge
2 3 1
Cartesian
0.0000 0.0000 0.0000 Ce
0.0000 2.1317 3.6255 Ce
2.1098 0.0000 4.9051 Ga
2.1098 2.1317 1.1694 Ga
2.1098 2.1317 6.0835 Ga
2.1098 0.0000 2.4393 Ge
```

Output
**Uncorrected energy**: -4.878 eV per atom
**Formation energy**: -0.6174 eV per atom

***

Entry 6:
Compound: Ce8Ga3Ge4
Source: Alexandria via LeMat-Bulk
Functional: PBE-GGA
Structure: relaxed

Cell and atoms, written as POSCAR:
```
Ce8Ga3Ge4
1.0
5.9924 -5.9862 0.0000
5.9924 5.9862 0.0000
-5.9436 0.0000 5.9929
Ce Ga Ge
8 3 4
Cartesian
-2.9842 0.0000 5.9675 Ce
0.0133 0.0000 2.9537 Ce
5.9924 3.0313 0.0000 Ce
3.0206 3.0082 2.9965 Ce
3.0206 -3.0082 2.9965 Ce
5.9924 -3.0313 0.0000 Ce
6.0279 0.0000 3.0392 Ce
9.0254 0.0000 0.0254 Ce
0.0244 2.9931 2.9965 Ga
0.0244 -2.9931 2.9965 Ga
5.9924 0.0000 0.0000 Ga
0.0000 0.0000 0.0000 Ge
-2.9718 0.0000 2.9965 Ge
2.9962 2.9931 0.0000 Ge
2.9962 -2.9931 0.0000 Ge
```

Output
**Uncorrected energy**: -5.352 eV per atom
**Formation energy**: -0.3507 eV per atom